Material: Ta6VRe
Method: DFT, PBE
State: optimized geometry

Unit cell a=5.752 b=5.752 c=5.752 alpha=110.35 beta=110.35 gamma=110.35
Fractional positions:
Ta  0.250  0.250  0.750
Ta  0.250  0.750  0.250
Ta  0.250  0.750  0.750
Ta  0.750  0.250  0.250
Ta  0.750  0.250  0.750
Ta  0.750  0.750  0.250
V  0.000  0.000  0.000
Re  0.500  0.500  0.500

## Properties
Crystal system = trigonal
Energy relative to the elements = 0.15 eV per atom
E above lowest polymorph = 271.7 meV per atom
Final energy = -91.5 eV for the cell shown
Magnetic moment = 0.000 μB per atom